First-principles (GGA+U) data for a relaxed VAuBrF2 crystal, as listed in Alexandria via LeMat-Bulk.

For the volume, the calculation gives 104.5 Å³/cell. The raw total energy comes out at -2.70 eV/atom.

The space group is P4/mmm (No. 123) and the conventional cell measures 4.492, 4.492 and 5.181 Å, with angles of 90.00, 90.00 and 90.00 degrees. Symmetry generates all atoms from V at (0.000, 0.000, 0.000), Au at (0.500, 0.500, 0.000), Br at (0.500, 0.500, 0.500) and F at (0.000, 0.500, 0.500).